# Pr8DyTm3 PBE optimized geometry
data_Pr8DyTm3
_chemical_formula_sum 'Pr16 Dy2 Tm6'
_space_group_name_H-M_alt 'C 1 2/m 1'
_space_group_IT_number 12
_cell_length_a 7.0850
_cell_length_b 12.0488
_cell_length_c 9.9295
_cell_angle_alpha 90.00
_cell_angle_beta 104.41
_cell_angle_gamma 90.00
loop_
_space_group_symop_operation_xyz
'x,y,z'
'-x,-y,-z'
'-x,y,-z'
'x,-y,z'
'x+1/2,y+1/2,z'
'-x+1/2,-y+1/2,-z'
'-x+1/2,y+1/2,-z'
'x+1/2,-y+1/2,z'
loop_
_atom_site_label
_atom_site_type_symbol
_atom_site_fract_x
_atom_site_fract_y
_atom_site_fract_z
Pr1 Pr 0.0671 0.2470 0.3337
Pr2 Pr 0.1807 0.5000 0.1682
Pr3 Pr 0.1824 0.0000 0.1626
Dy1 Dy 0.0000 0.5000 0.5000
Tm1 Tm 0.0000 0.0000 0.5000
Tm2 Tm 0.2500 0.2500 0.0000
# Formation energy from the elements: 0.1097 eV/atom
# Crystal system: monoclinic